1.
Computed, not measured: a relaxed LaPm2Sm2Ho2 crystal at the PBE level of DFT.

Volume: 34.067 Å³/atom
Energy of formation from the pure elements: 0.62 eV per formula unit
VASP energy: -4.63 eV/atom

Lattice parameters (Å, degrees): 3.566 6.164 12.030 71.29 90.00 106.81
Fractional coordinates of all 7 atoms:
Ho1 0.223 0.446 0.639
Ho2 0.777 0.554 0.361
Pm1 0.446 0.893 0.773
Pm2 0.554 0.107 0.227
Sm1 0.333 0.665 0.082
Sm2 0.667 0.335 0.918
La1 0.000 0.000 0.500

2.
Computed, not measured: a relaxed La2PmSm6Ho crystal at the PBE level of DFT.

Volume: 34.702 Å³/atom
Energy of formation from the pure elements: 1.65 eV per formula unit
VASP energy: -4.58 eV/atom

Lattice parameters (Å, degrees): 6.867 12.548 12.548 138.59 94.90 94.90
Fractional coordinates of all 20 atoms:
La1 0.539 0.378 0.793
La2 0.461 0.622 0.207
La3 0.039 0.793 0.378
La4 0.961 0.207 0.622
Sm1 0.085 0.219 0.383
Sm2 0.386 0.006 0.371
Sm3 0.403 0.726 0.607
Sm4 0.886 0.371 0.006
Sm5 0.415 0.617 0.781
Sm6 0.114 0.629 0.994
Sm7 0.585 0.383 0.219
Sm8 0.597 0.274 0.393
Sm9 0.903 0.607 0.726
Sm10 0.915 0.781 0.617
Sm11 0.614 0.994 0.629
Sm12 0.097 0.393 0.274
Pm1 0.250 0.983 0.017
Pm2 0.750 0.017 0.983
Ho1 0.250 0.153 0.847
Ho2 0.750 0.847 0.153

3.
Computed, not measured: a relaxed La2PmSm6Ho3 crystal at the PBE level of DFT.

Volume: 33.748 Å³/atom
Energy of formation from the pure elements: 0.25 eV per formula unit
VASP energy: -4.70 eV/atom

Lattice parameters (Å, degrees): 6.286 6.286 12.022 95.02 95.02 120.03
Fractional coordinates of all 12 atoms:
Pm1 0.000 0.000 0.000
Ho1 0.834 0.166 0.500
Ho2 0.166 0.834 0.500
Ho3 0.500 0.500 0.500
Sm1 0.753 0.753 0.256
Sm2 0.085 0.418 0.256
Sm3 0.247 0.247 0.744
Sm4 0.582 0.915 0.744
Sm5 0.418 0.085 0.256
Sm6 0.915 0.582 0.744
La1 0.333 0.667 0.000
La2 0.667 0.333 0.000

4.
Computed, not measured: a relaxed LaPmSm2Ho2 crystal at the PBE level of DFT.

Volume: 34.340 Å³/atom
Energy of formation from the pure elements: 1.58 eV per formula unit
VASP energy: -4.45 eV/atom

Lattice parameters (Å, degrees): 3.421 6.592 18.272 90.00 90.00 90.00
Fractional coordinates of all 12 atoms:
Sm1 0.500 0.283 0.311
Sm2 0.000 0.217 0.811
Sm3 0.000 0.783 0.189
Sm4 0.500 0.717 0.689
Ho1 0.000 0.715 0.852
Ho2 0.500 0.785 0.352
Ho3 0.500 0.215 0.648
Ho4 0.000 0.285 0.148
La1 0.500 0.500 0.500
La2 0.000 0.000 0.000
Pm1 0.500 0.500 0.000
Pm2 0.000 0.000 0.500

5.
Computed, not measured: a relaxed La3Pm6Sm2Ho crystal at the PBE level of DFT.

Volume: 34.757 Å³/atom
Energy of formation from the pure elements: 0.22 eV per formula unit
VASP energy: -4.76 eV/atom

Lattice parameters (Å, degrees): 6.346 6.346 12.154 95.03 95.03 120.05
Fractional coordinates of all 12 atoms:
Pm1 0.749 0.749 0.246
Pm2 0.586 0.918 0.754
Pm3 0.251 0.251 0.754
Pm4 0.918 0.586 0.754
Pm5 0.082 0.414 0.246
Pm6 0.414 0.082 0.246
La1 0.167 0.833 0.500
La2 0.500 0.500 0.500
La3 0.833 0.167 0.500
Sm1 0.667 0.333 0.000
Sm2 0.333 0.667 0.000
Ho1 0.000 0.000 0.000

6.
Computed, not measured: a relaxed La2Pm4SmHo2 crystal at the PBE level of DFT.

Volume: 34.207 Å³/atom
Energy of formation from the pure elements: 0.03 eV per formula unit
VASP energy: -4.74 eV/atom

Lattice parameters (Å, degrees): 3.679 9.706 9.751 115.28 90.00 100.92
Fractional coordinates of all 9 atoms:
Ho1 0.852 0.704 0.335
Ho2 0.148 0.296 0.665
Pm1 0.519 0.038 0.337
Pm2 0.186 0.372 0.335
Pm3 0.814 0.628 0.665
Pm4 0.481 0.962 0.663
La1 0.666 0.333 0.998
La2 0.334 0.667 0.002
Sm1 0.000 0.000 0.000